Below is a geometry-optimized Li4CrF6 structure, with properties calculated at the GGA+U level.

```
Li4CrF6
1.0
4.9727 0.0000 0.0000
0.0000 4.9572 0.0000
-4.4452 0.0000 9.2018
Li Cr F
8 2 12
direct
0.1164 0.0372 0.1418
0.1164 0.4628 0.6418
0.2240 0.5410 0.2105
0.2240 0.9590 0.7105
0.7760 0.0410 0.2895
0.7760 0.4590 0.7895
0.8836 0.5372 0.3582
0.8836 0.9628 0.8582
0.5000 0.0000 0.5000
0.5000 0.5000 0.0000
0.1118 0.2439 0.8061
0.1118 0.2561 0.3061
0.1887 0.7475 0.5183
0.1887 0.7525 0.0183
0.4702 0.2144 0.6640
0.4702 0.2856 0.1640
0.5298 0.7144 0.8360
0.5298 0.7856 0.3360
0.8113 0.2475 0.9817
0.8113 0.2525 0.4817
0.8882 0.7439 0.6939
0.8882 0.7561 0.1939
```

Computed properties:
The total energy is -5.210 eV/atom. The size of the total moment comes out at 4.000 μB/f.u. The calculated volume comes out at 10.311 Å³/atom. The space group is No. 14.